# Th2Np3UP6

A relaxed structure of Th2Np3UP6 (GGA-PBE, the Alexandria database).

The energy of formation is -1.09 eV per atom.

It has space group C2/m (No. 12), with a = 17.4591 Å, b = 4.0132 Å, c = 8.0637 Å, α = 90.00°, β = 102.37° and γ = 90.00°. The inequivalent atoms are Th at (0.1657, 0.0000, 0.3327), Np at (0.0000, 0.5000, 0.5000), Np at (0.1674, 0.0000, 0.8353), U at (0.0000, 0.5000, 0.0000), P at (0.0034, 0.0000, 0.7553), P at (0.1637, 0.5000, 0.5927) and P at (0.1659, 0.5000, 0.0727).

***

# La2SbRh

A relaxed structure of La2SbRh (GGA-PBE, the Alexandria database).

Its formation energy without anion corrections is -3.4 eV per formula unit.

It has space group R-3m (No. 166, hexagonal axes), with a = 4.4066 Å, b = 4.4066 Å, c = 21.6407 Å, α = 90.00°, β = 90.00° and γ = 120.00°. The inequivalent atoms are La at (0.0000, 0.0000, 0.2405), Sb at (0.0000, 0.0000, 0.0000) and Rh at (0.0000, 0.0000, 0.5000).

***

# KCeBeS3

A relaxed structure of KCeBeS3 (GGA-PBE, the Alexandria database).

Its formation energy without anion corrections is -8.8 eV per formula unit.

It has space group P2_1/m (No. 11), with a = 9.0564 Å, b = 3.9674 Å, c = 9.0823 Å, α = 90.00°, β = 105.17° and γ = 90.00°. The inequivalent atoms are K at (0.1868, 0.2500, 0.2229), Ce at (0.3372, 0.7500, 0.8393), Be at (0.0729, 0.2500, 0.6020), S at (0.1134, 0.2500, 0.8355), S at (0.1582, 0.7500, 0.5214) and S at (0.4445, 0.7500, 0.1588).

***

# Dy2Y4Tm2Sc

A relaxed structure of Dy2Y4Tm2Sc (GGA-PBE, the Alexandria database).

The energy of formation is 0.02 eV per atom.

It has space group C2/m (No. 12), with a = 18.4670 Å, b = 3.5586 Å, c = 9.3877 Å, α = 90.00°, β = 115.84° and γ = 90.00°. The inequivalent atoms are Dy at (0.1487, 0.0000, 0.1677), Y at (0.0180, 0.5000, 0.8286), Y at (0.1844, 0.0000, 0.8302), Tm at (0.1651, 0.5000, 0.4987) and Sc at (0.0000, 0.0000, 0.5000).

***

# CoRhAu4

A relaxed structure of CoRhAu4 (GGA-PBE, the Alexandria database).

The energy of formation is 0.59 eV per atom.

It has space group F-43m (No. 216), with a = 7.6016 Å, b = 7.6016 Å, c = 7.6016 Å, α = 90.00°, β = 90.00° and γ = 90.00°. The inequivalent atoms are Co at (0.0000, 0.0000, 0.0000), Rh at (0.2500, 0.2500, 0.7500) and Au at (0.1251, 0.1251, 0.3749).

***

# K2CdCl3F

A relaxed structure of K2CdCl3F (GGA-PBE, the Alexandria database).

Its formation energy without anion corrections is -12.8 eV per formula unit.

It has space group Immm (No. 71), with a = 4.4929 Å, b = 5.2253 Å, c = 16.2093 Å, α = 90.00°, β = 90.00° and γ = 90.00°. The inequivalent atoms are K at (0.0000, 0.0000, 0.1430), Cd at (0.0000, 0.0000, 0.5000), Cl at (0.0000, 0.0000, 0.3371), Cl at (0.0000, 0.5000, 0.5000) and F at (0.0000, 0.5000, 0.0000).

***

# MgNiOsRu

A relaxed structure of MgNiOsRu (GGA-PBE, the Alexandria database).

The energy of formation is 0.18 eV per atom.

It has space group F-43m (No. 216), with a = 6.0575 Å, b = 6.0575 Å, c = 6.0575 Å, α = 90.00°, β = 90.00° and γ = 90.00°. The inequivalent atoms are Mg at (0.0000, 0.0000, 0.0000), Ni at (0.2500, 0.2500, 0.7500), Os at (0.0000, 0.0000, 0.5000) and Ru at (0.2500, 0.2500, 0.2500).

***

# AlCrRh2Br

A relaxed structure of AlCrRh2Br (GGA-PBE, the Alexandria database).

Its formation energy without anion corrections is 7.6 eV per formula unit.

It has space group P4/mmm (No. 123), with a = 4.5650 Å, b = 4.5650 Å, c = 4.8131 Å, α = 90.00°, β = 90.00° and γ = 90.00°. The inequivalent atoms are Al at (0.0000, 0.0000, 0.0000), Cr at (0.5000, 0.5000, 0.0000), Rh at (0.0000, 0.5000, 0.5000) and Br at (0.0000, 0.0000, 0.5000).

***

It is found that the theoretical density values, taken in the order of the records, are 9.6, 6.9, 3.0, 6.4, 14.4, 2.8, 11.2, 6.0 g cm⁻³.